Entry one
CrHgCl2 (GGA-PBE, optimized geometry); volume = 21.55 Å³ per atom; DOS(E_F) = 1.209 states/eV per atom
1.0
-3.1788 3.2146 2.0366
-3.5440 -1.6223 3.0651
0.2608 1.0110 4.8473
Cr Hg Cl
1 1 2
Cartesian
-3.2310 1.3017 4.9745
-4.8466 1.9525 7.4618
0.0000 0.0000 0.0000
-1.6155 0.6508 2.4873

Entry two
CrHgCl2 (GGA-PBE, optimized geometry); volume = 25.99 Å³ per atom; DOS(E_F) = 0.508 states/eV per atom
1.0
-1.5020 -4.1217 -0.3285
1.7394 -1.1620 6.6264
-2.0542 0.3576 4.9054
Cr Hg Cl
1 1 2
Cartesian
-0.9084 -2.4630 5.6017
-1.0271 0.1788 2.4527
0.0000 0.0000 0.0000
0.1187 -2.6418 3.1490

Entry three
CrHgCl2 (GGA-PBE, optimized geometry); volume = 25.01 Å³ per atom; DOS(E_F) = 1.112 states/eV per atom
1.0
-0.6023 3.1101 -0.5291
-2.6323 -0.7921 -1.6594
-5.2497 0.3699 8.1510
Cr Hg Cl
1 1 2
Cartesian
-2.9297 1.2515 0.9435
-5.5546 1.4364 5.0190
-0.4981 0.0351 0.7734
-2.1267 0.1499 3.3021

Energetically preferred structure: entry three | next structure: +277 meV per atom

Entry one
CrHgCl2 (GGA-PBE, optimized geometry); volume = 30.91 Å³ per atom
1.0
-1.9936 2.9745 -5.4695
-3.5596 -0.0422 -5.4832
-6.0681 3.1514 -0.3407
Cr Hg Cl
1 1 2
Cartesian
-8.7160 4.5628 -8.4700
-2.9053 1.5209 -2.8233
-6.0175 3.1298 -1.3651
-5.8613 3.0635 -4.6222

Entry two
CrHgCl2 (GGA-PBE, optimized geometry); volume = 24.06 Å³ per atom; DOS(E_F) = 0.394 states/eV per atom
1.0
-6.6120 -1.3285 -0.8624
-5.0074 -1.0933 4.4674
5.2552 3.9403 -1.7560
Cr Hg Cl
1 1 2
Cartesian
-5.8097 -1.2109 1.8025
-3.5832 0.7004 -0.4080
0.0000 0.0000 0.0000
-2.7809 0.8180 2.2569

Entry three
CrHgCl2 (GGA-PBE, optimized geometry); volume = 32.57 Å³ per atom
1.0
-3.2889 0.8516 -0.2869
-0.2027 -1.9945 -3.5974
-2.4665 -8.4099 3.3109
Cr Hg Cl
1 1 2
Cartesian
-2.3117 -2.1753 -0.2151
-3.6463 -7.3774 -0.3583
-0.2581 -1.0288 -0.0955
-1.0765 -4.1733 -0.0477

Entry four
CrHgCl2 (GGA-PBE, optimized geometry); volume = 22.09 Å³ per atom; DOS(E_F) = 1.153 states/eV per atom
1.0
4.8605 0.0569 0.0000
-0.1236 4.8593 0.0000
0.0000 0.0000 3.7408
Cr Hg Cl
1 1 2
Cartesian
2.4303 0.0284 1.8704
-0.0618 2.4296 1.8704
0.0000 0.0000 0.0000
2.3684 2.4581 0.0000

Energetically preferred structure: entry one | next structure: +9 meV per atom